# 1
First-principles (PBE) data for a relaxed structure of LiCaSe2N, as listed in the Alexandria database.

Values from the calculation:
E_form (uncorrected)   0.28 eV per atom
E above lowest polymorph   6.42 kcal/mol of atoms

Cell and atoms, written as POSCAR:
```
LiCaSe2N
1.0
5.570 0.000 0.000
0.000 5.570 0.000
0.000 0.000 4.686
Li Se Ca N
1 2 1 1
Direct
0.500 0.500 0.500
0.500 0.000 0.000
0.000 0.500 0.000
0.000 0.000 0.000
0.000 0.000 0.500
```



# 2
First-principles (PBE) data for a relaxed structure of Er2Fe3, as listed in the Alexandria database.

Values from the calculation:
Calculated formation energy   -0.055 eV/atom

Cell and atoms, written as POSCAR:
```
Er2Fe3
1.0
5.016 0.000 0.000
-2.508 4.811 0.000
0.000 0.000 7.332
Er Fe
4 6
Direct
0.160 0.321 0.598
0.340 0.679 0.098
0.840 0.679 0.402
0.660 0.321 0.902
0.000 0.000 0.000
0.336 0.171 0.250
0.500 0.000 0.500
0.836 0.171 0.250
0.164 0.829 0.750
0.664 0.829 0.750
```



# 3
First-principles (PBE) data for a relaxed structure of NdY6Er4, as listed in the Alexandria database.

Values from the calculation:
Calculated formation energy   0.166 eV/atom
E above lowest polymorph   1.12 kcal/mol of atoms

Cell and atoms, written as POSCAR:
```
NdY6Er4
1.0
3.552 0.000 0.000
0.000 10.915 0.000
0.000 -5.457 9.452
Y Nd Er
6 1 4
Direct
0.500 0.184 0.816
0.000 0.519 0.481
0.000 0.962 0.481
0.000 0.519 0.038
0.500 0.184 0.367
0.500 0.633 0.816
0.000 0.000 0.000
0.500 0.837 0.675
0.500 0.837 0.163
0.000 0.333 0.667
0.500 0.325 0.163
```



# 4
First-principles (PBE) data for a relaxed structure of AlFeSb, as listed in the Alexandria database.

Values from the calculation:
E_form (uncorrected)   -0.01 eV per atom
E above lowest polymorph   0.55 kcal/mol of atoms

Cell and atoms, written as POSCAR:
```
AlFeSb
1.0
-1.898 2.978 -0.679
-5.671 -3.052 2.470
4.108 3.582 4.227
Al Sb Fe
3 3 3
Direct
0.500 0.743 0.743
0.500 0.257 0.000
0.500 0.000 0.257
0.000 0.382 0.382
0.000 0.000 0.618
0.000 0.618 0.000
0.500 0.333 0.667
0.000 0.000 0.000
0.500 0.667 0.333
```



# 5
First-principles (PBE) data for a relaxed structure of Cr3P, as listed in the Alexandria database.

Values from the calculation:
Calculated formation energy   -0.129 eV/atom
E above lowest polymorph   5.35 kcal/mol of atoms

Cell and atoms, written as POSCAR:
```
Cr3P
1.0
3.976 0.000 0.000
1.988 3.443 0.000
1.988 1.148 3.247
Cr P
3 1
Direct
0.250 0.250 0.250
0.000 0.000 0.000
0.500 0.500 0.500
0.750 0.750 0.750
```



# 6
First-principles (PBE) data for a relaxed structure of KCuIr4, as listed in the Alexandria database.

Values from the calculation:
Calculated formation energy   0.714 eV/atom

Cell and atoms, written as POSCAR:
```
KCuIr4
1.0
0.000 3.751 3.751
3.751 0.000 3.751
3.751 3.751 0.000
Ir K Cu
4 1 1
Direct
0.375 0.876 0.375
0.876 0.375 0.375
0.375 0.375 0.876
0.375 0.375 0.375
0.750 0.750 0.750
0.000 0.000 0.000
```



# 7
First-principles (PBE) data for a relaxed structure of Ca3HgBi2, as listed in the Alexandria database.

Values from the calculation:
Calculated formation energy   -0.651 eV/atom
E above lowest polymorph   2.21 kcal/mol of atoms

Cell and atoms, written as POSCAR:
```
Ca3HgBi2
1.0
-3.741 -0.305 -5.070
-2.517 -8.820 2.388
-2.858 4.916 5.737
Bi Ca Hg
4 6 2
Direct
0.354 0.426 0.705
0.646 0.574 0.295
0.649 0.074 0.295
0.351 0.926 0.705
0.800 0.400 0.598
0.604 0.250 0.000
0.798 0.900 0.598
0.202 0.100 0.402
0.200 0.600 0.402
0.396 0.750 0.000
0.894 0.750 0.000
0.106 0.250 0.000
```



# 8
First-principles (PBE) data for a relaxed structure of Zn8Pd, as listed in the Alexandria database.

Values from the calculation:
Calculated formation energy   -0.120 eV/atom

Cell and atoms, written as POSCAR:
```
Zn8Pd
1.0
3.881 0.000 0.000
1.941 5.822 0.000
1.941 0.000 5.822
Zn Pd
8 1
Direct
0.666 0.667 0.000
0.335 0.665 0.665
0.334 0.000 0.333
0.665 0.335 0.335
0.666 0.000 0.667
0.334 0.333 0.000
0.000 0.665 0.335
0.000 0.335 0.665
0.000 0.000 0.000
```



# 9
First-principles (PBE) data for a relaxed structure of Sm4AgRu, as listed in the Alexandria database.

Values from the calculation:
Calculated formation energy   -0.248 eV/atom
E above lowest polymorph   0.00 kcal/mol of atoms

Cell and atoms, written as POSCAR:
```
Sm4AgRu
1.0
8.426 0.000 4.865
2.809 7.944 4.865
0.000 0.000 9.729
Ru Ag Sm
4 4 16
Direct
0.612 0.612 0.612
0.165 0.612 0.612
0.612 0.165 0.612
0.612 0.612 0.165
0.493 0.169 0.169
0.169 0.169 0.493
0.169 0.493 0.169
0.169 0.169 0.169
0.793 0.402 0.402
0.402 0.793 0.402
0.941 0.559 0.559
0.811 0.189 0.811
0.402 0.402 0.402
0.941 0.559 0.941
0.189 0.811 0.189
0.189 0.811 0.811
0.402 0.402 0.793
0.559 0.941 0.941
0.941 0.941 0.559
0.559 0.941 0.559
0.189 0.189 0.811
0.811 0.811 0.189
0.811 0.189 0.189
0.559 0.559 0.941
```



# 10
First-principles (PBE) data for a relaxed structure of HfRe2Tc2, as listed in the Alexandria database.

Values from the calculation:
Calculated formation energy   0.067 eV/atom
E above lowest polymorph   0.00 kcal/mol of atoms

Cell and atoms, written as POSCAR:
```
HfRe2Tc2
1.0
7.618 0.000 0.000
0.000 7.618 0.000
0.000 0.000 2.829
Re Hf Tc
4 2 4
Direct
0.626 0.126 0.000
0.374 0.874 0.000
0.874 0.626 0.000
0.126 0.374 0.000
0.500 0.500 0.000
0.000 0.000 0.000
0.831 0.331 0.500
0.331 0.169 0.500
0.169 0.669 0.500
0.669 0.831 0.500
```



# 11
First-principles (PBE) data for a relaxed structure of LiBOF2, as listed in the Alexandria database.

Values from the calculation:
E_form (uncorrected)   -2.04 eV per atom
E above lowest polymorph   0.00 kcal/mol of atoms

Cell and atoms, written as POSCAR:
```
LiBOF2
1.0
3.980 0.000 0.000
0.000 3.980 0.000
0.000 0.000 2.699
O B F Li
1 1 2 1
Direct
0.000 0.000 0.500
0.000 0.000 0.000
0.500 0.000 0.000
0.000 0.500 0.000
0.500 0.500 0.500
```



# 12
First-principles (PBE) data for a relaxed structure of Nd2Pt3, as listed in the Alexandria database.

Values from the calculation:
Calculated formation energy   -1.054 eV/atom

Cell and atoms, written as POSCAR:
```
Nd2Pt3
1.0
-5.108 -2.096 1.977
-0.320 -2.682 5.031
-3.949 5.620 4.454
Nd Pt
4 6
Direct
0.781 0.349 0.101
0.230 0.651 0.899
0.631 0.849 0.399
0.879 0.151 0.601
0.823 0.622 0.744
0.196 0.878 0.244
0.356 0.500 0.500
0.190 0.378 0.256
0.606 0.000 0.000
0.317 0.122 0.756
```



# 13
First-principles (PBE) data for a relaxed structure of NaAlSn, as listed in the Alexandria database.

Values from the calculation:
Calculated formation energy   -0.106 eV/atom

Cell and atoms, written as POSCAR:
```
NaAlSn
1.0
1.937 3.194 -2.881
-4.465 0.516 1.432
2.361 3.933 5.946
Sn Al Na
2 2 2
Direct
0.333 0.667 0.449
0.667 0.333 0.949
0.333 0.667 0.056
0.667 0.333 0.556
0.000 0.000 0.245
0.000 0.000 0.745
```



# 14
First-principles (PBE) data for a relaxed structure of LaTbCe2Bi5, as listed in the Alexandria database.

Values from the calculation:
Calculated formation energy   -0.158 eV/atom

Cell and atoms, written as POSCAR:
```
LaTbCe2Bi5
1.0
5.460 0.000 0.000
0.000 5.460 0.000
0.000 0.000 12.127
Ce Bi La Tb
2 5 1 1
Direct
0.500 0.500 0.280
0.500 0.500 0.720
0.500 0.000 0.500
0.000 0.000 0.251
0.500 0.500 0.000
0.000 0.000 0.749
0.000 0.500 0.500
0.000 0.000 0.000
0.000 0.000 0.500
```



# 15
First-principles (PBE) data for a relaxed structure of Li2Dy3Mg7, as listed in the Alexandria database.

Values from the calculation:
Calculated formation energy   0.036 eV/atom
E above lowest polymorph   1.19 kcal/mol of atoms

Cell and atoms, written as POSCAR:
```
Li2Dy3Mg7
1.0
3.362 0.000 0.000
0.000 5.406 -0.104
0.000 0.210 16.424
Mg Dy Li
7 3 2
Direct
0.000 0.633 0.164
0.500 0.751 0.459
0.000 0.000 0.000
0.500 0.138 0.167
0.500 0.249 0.541
0.000 0.367 0.836
0.500 0.862 0.833
0.000 0.745 0.643
0.500 0.500 0.000
0.000 0.255 0.357
0.500 0.233 0.706
0.500 0.767 0.294
```



# 16
First-principles (PBE) data for a relaxed structure of ZrWBr2, as listed in the Alexandria database.

Values from the calculation:
E_form (uncorrected)   0.24 eV per atom
E above lowest polymorph   7.20 kcal/mol of atoms

Cell and atoms, written as POSCAR:
```
ZrWBr2
1.0
1.847 0.000 9.205
-0.923 1.599 9.205
-0.923 -1.599 9.205
Br W Zr
2 1 1
Direct
0.908 0.908 0.908
0.092 0.092 0.092
0.000 0.000 0.000
0.500 0.500 0.500
```



# 17
First-principles (PBE) data for a relaxed structure of Ho2OsRu, as listed in the Alexandria database.

Values from the calculation:
Calculated formation energy   -0.211 eV/atom
E above lowest polymorph   0.00 kcal/mol of atoms

Cell and atoms, written as POSCAR:
```
Ho2OsRu
1.0
-3.058 0.870 -1.164
-1.444 -2.117 2.213
-0.320 4.998 4.573
Ho Os Ru
2 1 1
Direct
0.000 0.000 0.250
0.000 0.000 0.750
0.500 0.500 0.000
0.500 0.500 0.500
```



# 18
First-principles (PBE) data for a relaxed structure of ReIrPt3, as listed in the Alexandria database.

Values from the calculation:
Calculated formation energy   1.795 eV/atom
E above lowest polymorph   0.00 kcal/mol of atoms

Cell and atoms, written as POSCAR:
```
ReIrPt3
1.0
-3.816 2.796 0.389
-2.816 -3.722 -0.865
-0.204 -0.926 4.651
Ir Re Pt
1 1 3
Direct
0.500 0.500 0.500
0.000 0.000 0.000
0.000 0.500 0.000
0.000 0.000 0.500
0.500 0.000 0.000
```



# 19
First-principles (PBE) data for a relaxed structure of NdEr4Sb5, as listed in the Alexandria database.

Values from the calculation:
E_form (uncorrected)   -1.11 eV per atom

Cell and atoms, written as POSCAR:
```
NdEr4Sb5
1.0
-3.230 -2.281 1.899
4.091 -4.322 1.768
1.251 8.729 7.544
Er Sb Nd
4 5 1
Direct
0.798 0.798 0.596
0.400 0.400 0.799
0.600 0.600 0.201
0.202 0.202 0.404
0.199 0.699 0.399
0.396 0.896 0.792
0.000 0.500 0.000
0.801 0.301 0.601
0.604 0.104 0.208
0.000 0.000 0.000
```



# 20
First-principles (PBE) data for a relaxed structure of Cd11Hg17Bi, as listed in the Alexandria database.

Values from the calculation:
Calculated formation energy   0.030 eV/atom

Cell and atoms, written as POSCAR:
```
Cd11Hg17Bi
1.0
-10.138 1.907 0.742
3.093 -9.869 -0.065
3.545 3.463 7.589
Hg Cd Bi
17 11 1
Direct
0.586 0.324 0.007
0.740 0.431 0.437
0.408 0.408 0.730
0.658 0.658 0.667
0.995 0.592 0.312
0.592 0.995 0.312
0.975 0.311 0.955
0.431 0.740 0.437
0.279 0.658 0.689
0.311 0.975 0.955
0.658 0.279 0.689
0.998 0.998 0.017
0.971 0.285 0.568
0.083 0.083 0.397
0.745 0.745 0.293
0.285 0.971 0.568
0.324 0.586 0.007
0.645 0.833 0.008
0.778 0.205 0.172
0.387 0.141 0.335
0.205 0.778 0.172
0.581 0.003 0.799
0.833 0.645 0.008
0.003 0.581 0.799
0.986 0.807 0.632
0.184 0.184 0.836
0.141 0.387 0.335
0.807 0.986 0.632
0.409 0.410 0.233
```